[1]
This record from Alexandria describes a relaxed structure of Er2Mn16Mo. The functional is PBE.

Results
The size of the total moment is 5.57 μB per cell. The uncorrected energy is -166.57 eV per cell. Its symmetry is R3m (160). For the density of states at the Fermi level, the calculation gives 1.120 states/eV per atom. The calculation puts the formation energy at 0.005 eV/atom.

a = 6.3461 Å, b = 6.3461 Å, c = 6.3461 Å
α = 86.19°, β = 86.19°, γ = 86.19°
Closest atoms and distances in Å follow each position.
Positions (direct):
1 Er 0.0000 0.0000 0.0000  12 Mn 2.92-3.17, 1 Mo 3.01
2 Er 0.2896 0.2896 0.2896  13 Mn 2.89-3.16
3 Mn 0.0046 0.0046 0.5168  8 Mn 2.47-2.68, 1 Mo 2.70
4 Mn 0.0046 0.5168 0.0046  8 Mn 2.47-2.68, 1 Mo 2.70
5 Mn 0.1441 0.6428 0.6428  8 Mn 2.31-2.51
6 Mn 0.2868 0.2868 0.7678  9 Mn 2.48-2.68
7 Mn 0.2868 0.7678 0.2868  9 Mn 2.48-2.68
8 Mn 0.3629 0.6406 0.9205  7 Mn 2.31-2.59
9 Mn 0.3629 0.9205 0.6406  7 Mn 2.31-2.59
10 Mn 0.5168 0.0046 0.0046  8 Mn 2.47-2.68, 1 Mo 2.70
11 Mn 0.5387 0.5387 0.5387  1 Mo 2.39, 6 Mn 2.60-2.64
12 Mn 0.6406 0.3629 0.9205  7 Mn 2.31-2.59
13 Mn 0.6406 0.9205 0.3629  7 Mn 2.31-2.59
14 Mn 0.6428 0.1441 0.6428  8 Mn 2.31-2.51
15 Mn 0.6428 0.6428 0.1441  8 Mn 2.31-2.51
16 Mn 0.7678 0.2868 0.2868  9 Mn 2.48-2.68
17 Mn 0.9205 0.3629 0.6406  7 Mn 2.31-2.59
18 Mn 0.9205 0.6406 0.3629  7 Mn 2.31-2.59
19 Mo 0.7427 0.7427 0.7427  4 Mn 2.39-2.63


[2]
This record from Alexandria describes a relaxed structure of La2HoMg6. The functional is PBE.

Results
The size of the total moment is 0.00 μB per cell. The uncorrected energy is -24.83 eV per cell. Its symmetry is P6/mmm (191). For the density of states at the Fermi level, the calculation gives 0.922 states/eV per atom. The calculation puts the formation energy at -0.093 eV/atom.

a = 9.2231 Å, b = 9.2231 Å, c = 3.3728 Å
α = 90.00°, β = 90.00°, γ = 120.00°
Closest atoms and distances in Å follow each position.
Positions (direct):
1 La 0.3333 0.6667 0.0000  2 La 3.37, 12 Mg 3.53
2 La 0.6667 0.3333 0.0000  2 La 3.37, 12 Mg 3.53
3 Ho 0.0000 0.0000 0.0000  2 Ho 3.37, 12 Mg 3.46
4 Mg 0.0000 0.3273 0.5000  5 Mg 3.02-3.37
5 Mg 0.0000 0.6727 0.5000  5 Mg 3.02-3.37
6 Mg 0.3273 0.0000 0.5000  5 Mg 3.02-3.37
7 Mg 0.3273 0.3273 0.5000  5 Mg 3.02-3.37
8 Mg 0.6727 0.0000 0.5000  5 Mg 3.02-3.37
9 Mg 0.6727 0.6727 0.5000  5 Mg 3.02-3.37


[3]
This record from Alexandria describes a relaxed structure of Sr2InFe. The functional is PBE.

Results
The size of the total moment is 2.43 μB per cell. The uncorrected energy is -12.87 eV per cell. Its symmetry is C2/m (12). For the density of states at the Fermi level, the calculation gives 1.572 states/eV per atom. The calculation puts the formation energy at 0.424 eV/atom.

a = 4.1848 Å, b = 4.1848 Å, c = 9.6553 Å
α = 98.37°, β = 98.37°, γ = 51.88°
Closest atoms and distances in Å follow each position.
Positions (direct):
1 Sr 0.2439 0.2439 0.2213  3 Fe 3.10-3.16
2 Sr 0.7561 0.7561 0.7787  3 Fe 3.10-3.16
3 In 0.0000 0.0000 0.5000  6 Sr 3.49-3.55, 2 In 3.66
4 Fe 0.5000 0.5000 0.0000  6 Sr 3.10-3.16